# 1
The following is a DFT calculation (GGA-PBE) of a geometry-optimized Sm4Sn2Ru structure.

space group = C2/m (12)
density of states at the Fermi level = 5.7 states/eV/cell
ΔE_f = -557 meV per atom
total DFT energy (no corrections) = -5.723 eV/atom

Unit cell a=4.773 b=6.164 c=7.672 alpha=79.30 beta=71.88 gamma=67.22
Fractional positions:
Sm 0.068 0.221 0.643
Sm 0.932 0.779 0.357
Sm 0.332 0.284 0.051
Sm 0.668 0.716 0.949
Sn 0.337 0.652 0.675
Sn 0.663 0.348 0.325
Ru 0.000 0.000 0.000

***

# 2
The following is a DFT calculation (GGA-PBE) of a geometry-optimized SmSn2Ru structure.

space group = R-3m (166)
density of states at the Fermi level = 2.7 states/eV/cell
ΔE_f = -416 meV per atom
total DFT energy (no corrections) = -5.916 eV/atom

Unit cell a=4.510 b=4.510 c=5.858 alpha=67.36 beta=67.36 gamma=60.00
Fractional positions:
Ru 0.500 0.500 0.500
Sn 0.777 0.777 0.669
Sn 0.223 0.223 0.331
Sm 0.000 0.000 0.000

***

# 3
The following is a DFT calculation (GGA-PBE) of a geometry-optimized TbSmSnRu structure.

space group = F-43m (216)
density of states at the Fermi level = 2.6 states/eV/cell
ΔE_f = -361 meV per atom
total DFT energy (no corrections) = -6.018 eV/atom

Unit cell a=5.137 b=5.137 c=5.137 alpha=60.00 beta=60.00 gamma=60.00
Fractional positions:
Ru 0.750 0.750 0.750
Tb 0.000 0.000 0.000
Sn 0.250 0.250 0.250
Sm 0.500 0.500 0.500

***

# 4
The following is a DFT calculation (GGA-PBE) of a geometry-optimized TbSmSnRu structure.

space group = Amm2 (38)
density of states at the Fermi level = 1.9 states/eV/cell
ΔE_f = -475 meV per atom
total DFT energy (no corrections) = -6.132 eV/atom

Unit cell a=4.628 b=3.764 c=6.227 alpha=90.00 beta=111.81 gamma=90.00
Fractional positions:
Tb 0.133 0.000 0.266
Sm 0.836 0.500 0.671
Sn 0.431 0.000 0.862
Ru 0.601 0.500 0.201

***

# 5
The following is a DFT calculation (GGA-PBE) of a geometry-optimized SrSm3Ru structure.

space group = Pm-3m (221)
density of states at the Fermi level = 3.8 states/eV/cell
ΔE_f = -87 meV per atom
total DFT energy (no corrections) = -5.110 eV/atom

Unit cell a=5.597 b=5.597 c=5.597 alpha=90.00 beta=90.00 gamma=90.00
Fractional positions:
Ru 0.000 0.000 0.000
Sm 0.000 0.500 0.000
Sm 0.000 0.000 0.500
Sm 0.500 0.000 0.000
Sr 0.500 0.500 0.500

***

# 6
The following is a DFT calculation (GGA-PBE) of a geometry-optimized SmTaRu2 structure.

space group = P4/mmm (123)
density of states at the Fermi level = 1.9 states/eV/cell
ΔE_f = -156 meV per atom
total DFT energy (no corrections) = -8.937 eV/atom

Unit cell a=3.260 b=4.712 c=4.712 alpha=90.00 beta=90.00 gamma=90.00
Fractional positions:
Ru 0.000 0.000 0.500
Ru 0.000 0.500 0.000
Sm 0.500 0.000 0.000
Ta 0.500 0.500 0.500

***

# 7
The following is a DFT calculation (GGA-PBE) of a geometry-optimized SmTa4Ru5 structure.

space group = P4/mmm (123)
density of states at the Fermi level = 6.8 states/eV/cell
ΔE_f = -349 meV per atom
total DFT energy (no corrections) = -10.200 eV/atom

Unit cell a=3.154 b=3.154 c=17.169 alpha=90.00 beta=90.00 gamma=90.00
Fractional positions:
Sm 0.000 0.000 0.000
Ta 0.000 0.000 0.213
Ta 0.000 0.000 0.405
Ta 0.000 0.000 0.595
Ta 0.000 0.000 0.787
Ru 0.500 0.500 0.132
Ru 0.500 0.500 0.314
Ru 0.500 0.500 0.500
Ru 0.500 0.500 0.686
Ru 0.500 0.500 0.868

***

# 8
The following is a DFT calculation (GGA-PBE) of a geometry-optimized SmTaRu structure.

space group = P4/nmm (129)
density of states at the Fermi level = 5.9 states/eV/cell
ΔE_f = -227 meV per atom
total DFT energy (no corrections) = -8.843 eV/atom

Unit cell a=4.495 b=4.495 c=6.697 alpha=90.00 beta=90.00 gamma=90.00
Fractional positions:
Sm 0.000 0.500 0.858
Sm 0.500 0.000 0.142
Ta 0.500 0.500 0.500
Ta 0.000 0.000 0.500
Ru 0.000 0.500 0.307
Ru 0.500 0.000 0.693

***

# 9
The following is a DFT calculation (GGA-PBE) of a geometry-optimized SmTaRu2 structure.

space group = P4/mmm (123)
density of states at the Fermi level = 2.0 states/eV/cell
ΔE_f = -329 meV per atom
total DFT energy (no corrections) = -9.110 eV/atom

Unit cell a=3.218 b=3.218 c=7.092 alpha=90.00 beta=90.00 gamma=90.00
Fractional positions:
Ru 0.000 0.000 0.789
Ru 0.000 0.000 0.211
Sm 0.500 0.500 0.500
Ta 0.500 0.500 0.000

***

# 10
The following is a DFT calculation (GGA-PBE) of a geometry-optimized SmTa2Ru3 structure.

space group = P4/mmm (123)
density of states at the Fermi level = 3.8 states/eV/cell
ΔE_f = -366 meV per atom
total DFT energy (no corrections) = -9.741 eV/atom

Unit cell a=3.167 b=3.167 c=10.625 alpha=90.00 beta=90.00 gamma=90.00
Fractional positions:
Sm 0.500 0.500 0.500
Ta 0.500 0.500 0.842
Ta 0.500 0.500 0.158
Ru 0.000 0.000 0.000
Ru 0.000 0.000 0.710
Ru 0.000 0.000 0.290

***

# 11
The following is a DFT calculation (GGA-PBE) of a geometry-optimized Sm2UTaRu6 structure.

space group = C2/m (12)
density of states at the Fermi level = 11.4 states/eV/cell
ΔE_f = -139 meV per atom
total DFT energy (no corrections) = -8.962 eV/atom

Unit cell a=5.571 b=9.566 c=5.646 alpha=72.85 beta=59.58 gamma=114.28
Fractional positions:
Sm 0.256 0.573 0.585
Sm 0.744 0.427 0.415
U 0.000 0.000 0.000
Ta 0.500 0.500 0.000
Ru 0.620 0.837 0.772
Ru 0.118 0.822 0.775
Ru 0.882 0.178 0.716
Ru 0.380 0.163 0.228
Ru 0.882 0.178 0.225
Ru 0.118 0.822 0.284

***

# 12
The following is a DFT calculation (GGA-PBE) of a geometry-optimized Tb2SmRu structure.

space group = R-3m (166)
density of states at the Fermi level = 6.4 states/eV/cell
ΔE_f = 113 meV per atom
total DFT energy (no corrections) = -5.700 eV/atom

Unit cell a=3.530 b=3.530 c=10.990 alpha=80.76 beta=80.76 gamma=60.00
Fractional positions:
Ru 0.500 0.500 0.500
Tb 0.108 0.108 0.675
Tb 0.892 0.892 0.325
Sm 0.000 0.000 0.000

***

# 13
The following is a DFT calculation (GGA-PBE) of a geometry-optimized Tb4Sm3Ru4 structure.

space group = Immm (71)
density of states at the Fermi level = 6.8 states/eV/cell
ΔE_f = -240 meV per atom
total DFT energy (no corrections) = -6.584 eV/atom

Unit cell a=3.615 b=9.013 c=9.475 alpha=118.40 beta=101.00 gamma=90.00
Fractional positions:
Tb 0.335 0.145 0.669
Tb 0.665 0.476 0.331
Tb 0.665 0.855 0.331
Tb 0.335 0.524 0.669
Sm 0.099 0.099 0.197
Sm 0.901 0.901 0.803
Sm 0.000 0.500 0.000
Ru 0.255 0.755 0.511
Ru 0.745 0.245 0.489
Ru 0.500 0.772 0.000
Ru 0.500 0.228 0.000

***

# 14
The following is a DFT calculation (GGA-PBE) of a geometry-optimized Tb3SmRu2 structure.

space group = Ibam (72)
density of states at the Fermi level = 5.0 states/eV/cell
ΔE_f = -205 meV per atom
total DFT energy (no corrections) = -6.399 eV/atom

Unit cell a=6.781 b=7.064 c=8.373 alpha=114.95 beta=113.89 gamma=90.00
Fractional positions:
Tb 0.500 0.250 0.000
Tb 0.500 0.750 0.000
Tb 0.762 0.012 0.525
Tb 0.238 0.488 0.475
Tb 0.238 0.988 0.475
Tb 0.762 0.512 0.525
Sm 0.000 0.500 0.000
Sm 0.000 0.000 0.000
Ru 0.589 0.366 0.732
Ru 0.857 0.134 0.268
Ru 0.143 0.866 0.732
Ru 0.411 0.634 0.268

***

# 15
The following is a DFT calculation (GGA-PBE) of a geometry-optimized Tb3Sm2Ru2 structure.

space group = C2/m (12)
density of states at the Fermi level = 5.0 states/eV/cell
ΔE_f = -292 meV per atom
total DFT energy (no corrections) = -6.275 eV/atom

Unit cell a=3.878 b=6.349 c=8.778 alpha=113.64 beta=90.00 gamma=107.78
Fractional positions:
Tb 0.500 0.000 0.000
Tb 0.621 0.243 0.426
Tb 0.379 0.757 0.574
Sm 0.835 0.670 0.195
Sm 0.165 0.330 0.805
Ru 0.821 0.642 0.770
Ru 0.179 0.358 0.230

***

# 16
The following is a DFT calculation (GGA-PBE) of a geometry-optimized TbSm3Ru structure.

space group = Pm-3m (221)
density of states at the Fermi level = 9.1 states/eV/cell
ΔE_f = 21 meV per atom
total DFT energy (no corrections) = -5.592 eV/atom

Unit cell a=5.477 b=5.477 c=5.477 alpha=90.00 beta=90.00 gamma=90.00
Site moments in Bohr magnetons follow the coordinates.
Fractional positions:
Ru 0.000 0.000 0.000  -0.01
Tb 0.500 0.500 0.500  0.15
Sm 0.000 0.500 0.000  0.04
Sm 0.000 0.000 0.500  0.04
Sm 0.500 0.000 0.000  0.04

***

# 17
The following is a DFT calculation (GGA-PBE) of a geometry-optimized Tb4SmRu5 structure.

space group = P4/mmm (123)
density of states at the Fermi level = 12.0 states/eV/cell
ΔE_f = -261 meV per atom
total DFT energy (no corrections) = -7.223 eV/atom

Unit cell a=3.427 b=3.427 c=17.084 alpha=90.00 beta=90.00 gamma=90.00
Fractional positions:
Tb 0.000 0.000 0.202
Tb 0.000 0.000 0.401
Tb 0.000 0.000 0.599
Tb 0.000 0.000 0.798
Sm 0.000 0.000 0.000
Ru 0.500 0.500 0.102
Ru 0.500 0.500 0.301
Ru 0.500 0.500 0.500
Ru 0.500 0.500 0.699
Ru 0.500 0.500 0.898

***

# 18
The following is a DFT calculation (GGA-PBE) of a geometry-optimized TbSm3Ru structure.

space group = Ima2 (46)
density of states at the Fermi level = 11.2 states/eV/cell
ΔE_f = -126 meV per atom
total DFT energy (no corrections) = -5.739 eV/atom

Unit cell a=7.439 b=7.439 c=7.439 alpha=101.55 beta=119.61 gamma=107.80
Fractional positions:
Tb 0.505 0.780 0.225
Tb 0.555 0.280 0.775
Sm 0.030 0.242 0.709
Sm 0.030 0.821 0.288
Sm 0.533 0.742 0.712
Sm 0.013 0.283 0.229
Sm 0.533 0.321 0.291
Sm 0.054 0.783 0.771
Ru 0.535 0.032 0.004
Ru 0.028 0.532 0.996

***

# 19
The following is a DFT calculation (GGA-PBE) of a geometry-optimized TbSm5Ru3 structure.

space group = C2/m (12)
density of states at the Fermi level = 5.2 states/eV/cell
ΔE_f = -168 meV per atom
total DFT energy (no corrections) = -6.397 eV/atom

Unit cell a=7.755 b=7.755 c=10.089 alpha=72.03 beta=72.03 gamma=72.97
Fractional positions:
Tb 0.097 0.097 0.702
Tb 0.903 0.903 0.298
Sm 0.970 0.367 0.336
Sm 0.300 0.700 0.000
Sm 0.767 0.767 0.035
Sm 0.437 0.437 0.365
Sm 0.563 0.563 0.635
Sm 0.233 0.233 0.965
Sm 0.367 0.970 0.336
Sm 0.700 0.300 0.000
Sm 0.030 0.633 0.664
Sm 0.633 0.030 0.664
Ru 0.666 0.666 0.834
Ru 0.671 0.671 0.336
Ru 0.000 0.000 0.000
Ru 0.000 0.000 0.500
Ru 0.334 0.334 0.166
Ru 0.329 0.329 0.664

***

# 20
The following is a DFT calculation (GGA-PBE) of a geometry-optimized Tb3SmRu2 structure.

space group = Pmc2_1 (26)
density of states at the Fermi level = 7.3 states/eV/cell
ΔE_f = -299 meV per atom
total DFT energy (no corrections) = -6.493 eV/atom

Unit cell a=4.485 b=7.452 c=8.815 alpha=90.00 beta=90.00 gamma=90.00
Fractional positions:
Tb 0.000 0.482 0.916
Tb 0.000 0.982 0.084
Tb 0.500 0.646 0.174
Tb 0.500 0.146 0.826
Tb 0.000 0.355 0.322
Tb 0.000 0.855 0.678
Sm 0.500 0.517 0.585
Sm 0.500 0.017 0.415
Ru 0.500 0.752 0.855
Ru 0.500 0.252 0.145
Ru 0.000 0.248 0.649
Ru 0.000 0.748 0.351